# 1
DFT (PBE) results for crystalline Ga2BiF8 at its relaxed geometry.

Lattice parameters (Å, degrees): 8.348 6.313 5.867 90.00 99.01 90.00
Space group C2/m (No. 12)
Symmetry-distinct sites (fractional):
Ga: 0.181 0.000 0.449 (multiplicity 4)
Bi: 0.000 0.500 0.000 (multiplicity 2)
F: 0.066 0.000 0.702 (multiplicity 4)
F: 0.139 0.311 0.368 (multiplicity 8)
F: 0.227 0.500 0.823 (multiplicity 4)

***

# 2
DFT (PBE) results for crystalline GaBiF6 at its relaxed geometry.

Lattice parameters (Å, degrees): 5.4874 5.4874 14.5832 90.00 90.00 120.00
Space group R-3 (No. 148, hexagonal axes)
Symmetry-distinct sites (fractional):
Ga: 0.0000 0.0000 0.0000 (multiplicity 3)
Bi: 0.0000 0.0000 0.5000 (multiplicity 3)
F: 0.0282 0.2988 0.0764 (multiplicity 18)

***

# 3
DFT (PBE) results for crystalline GaBi3F at its relaxed geometry.

Lattice parameters (Å, degrees): 5.458 5.458 5.458 90.00 90.00 90.00
Space group Pm-3m (No. 221)
Symmetry-distinct sites (fractional):
Ga: 0.000 0.000 0.000 (multiplicity 1)
Bi: 0.000 0.000 0.500 (multiplicity 3)
F: 0.500 0.500 0.500 (multiplicity 1)

The energy relative to the lowest polymorph listed for this composition comes out at 0.431 eV/atom.

***

# 4
DFT (PBE) results for crystalline GaBi3F at its relaxed geometry.

Lattice parameters (Å, degrees): 5.128 5.128 5.128 90.00 90.00 90.00
Space group Pm-3m (No. 221)
Symmetry-distinct sites (fractional):
Ga: 0.000 0.000 0.000 (multiplicity 1)
Bi: 0.000 0.500 0.500 (multiplicity 3)
F: 0.500 0.500 0.500 (multiplicity 1)

The energy relative to the lowest polymorph listed for this composition comes out at 0.000 eV/atom.

***

Number 1: formation energy from raw total energies -2289 meV per atom, N(E_F) 0.16 states/eV per atom. Number 2: formation energy from raw total energies -2535 meV per atom, N(E_F) 0.00 states/eV per atom. Number 3: formation energy from raw total energies 204 meV per atom, N(E_F) 0.98 states/eV per atom. Number 4: formation energy from raw total energies -228 meV per atom, N(E_F) 0.74 states/eV per atom.